(1)
{
  "formula": "Pr2DyTm9",
  "functional": "PBE-GGA",
  "state": "relaxed",
  "lattice_angstrom": [[-3.744, 2.848, -1.673], [-3.283, -3.485, 1.416], [-1.078, 6.482, 13.451]],
  "species": ["Tm", "Pr", "Tm", "Tm", "Tm", "Tm", "Tm", "Tm", "Tm", "Dy", "Tm", "Pr"],
  "fractional_positions": [[0.000, 0.500, 0.836], [0.000, 0.000, 0.333], [0.500, 0.500, 0.332], [0.500, 0.000, 0.164], [0.000, 0.500, 0.164], [0.000, 0.500, 0.500], [0.500, 0.000, 0.836], [0.500, 0.500, 0.668], [0.500, 0.000, 0.500], [0.000, 0.000, 0.000], [0.500, 0.500, 0.000], [0.000, 0.000, 0.667]],
  "e_form_kj_per_mol_atoms": 2.9,
  "n_ef_per_ev_cell": 17.3,
  "m_tot_mub_per_fu": 0.0,
  "sg": "No. 123"
}


(2)
{
  "formula": "GaCu2Ir",
  "functional": "PBE-GGA",
  "state": "relaxed",
  "lattice_angstrom": [[3.925, 0.000, 0.000], [0.000, 3.674, 0.000], [0.000, 0.000, 3.674]],
  "species": ["Cu", "Ir", "Ga", "Cu"],
  "fractional_positions": [[0.000, 0.000, 0.500], [0.500, 0.500, 0.500], [0.500, 0.000, 0.000], [0.000, 0.500, 0.000]],
  "e_form_kj_per_mol_atoms": -18.7,
  "n_ef_per_ev_cell": 1.1,
  "m_tot_mub_per_fu": 0.0,
  "sg": "No. 123"
}


(3)
{
  "formula": "Tb5Pr2DyTm",
  "functional": "PBE-GGA",
  "state": "relaxed",
  "lattice_angstrom": [[8.600, 0.000, 0.000], [0.000, 8.600, 0.000], [-4.300, -4.300, 8.010]],
  "species": ["Pr", "Tb", "Tb", "Tb", "Pr", "Dy", "Tb", "Tb", "Tb", "Tb", "Tb", "Dy", "Tm", "Tb", "Pr", "Pr", "Tm", "Tb"],
  "fractional_positions": [[0.881, 0.619, 0.000], [0.927, 0.427, 0.284], [0.643, 0.143, 0.716], [0.427, 0.357, 0.284], [0.619, 0.119, 0.000], [0.250, 0.250, 0.500], [0.143, 0.073, 0.716], [0.357, 0.857, 0.284], [0.857, 0.927, 0.284], [0.000, 0.000, 0.000], [0.573, 0.643, 0.716], [0.750, 0.750, 0.500], [0.750, 0.250, 0.500], [0.500, 0.500, 0.000], [0.119, 0.381, 0.000], [0.381, 0.881, 0.000], [0.250, 0.750, 0.500], [0.073, 0.573, 0.716]],
  "e_form_kj_per_mol_atoms": 26.5,
  "n_ef_per_ev_cell": 24.9,
  "m_tot_mub_per_fu": 0.0,
  "sg": "No. 140"
}


(4)
{
  "formula": "TlTePS2",
  "functional": "PBE-GGA",
  "state": "relaxed",
  "lattice_angstrom": [[4.923, 0.000, 0.000], [0.000, 6.381, 0.000], [0.000, 0.000, 4.923]],
  "species": ["S", "Te", "S", "P", "Tl"],
  "fractional_positions": [[0.500, 0.000, 0.000], [0.000, 0.500, 0.000], [0.000, 0.000, 0.500], [0.500, 0.500, 0.500], [0.000, 0.000, 0.000]],
  "raw_formation_energy_ev_per_atom": 1.15,
  "n_ef_per_ev_cell": 3.3,
  "m_tot_mub_per_fu": 0.9,
  "sg": "No. 123"
}


What did we get for total energy? Answer: -4.504 -5.214 -4.368 -2.681 eV per atom, in the order shown.